Computed, not measured: crystalline MnPt4Rh6 at its relaxed geometry at the PBE level of DFT.

Geometry as CIF:
```
data_MnPt4Rh6
_symmetry_space_group_name_H-M 'C m c m'
_symmetry_Int_Tables_number 63
_symmetry_space_group_name_Hall '-C 2c 2'
_cell_length_a 4.6366
_cell_length_b 7.1463
_cell_length_c 20.3838
_cell_angle_alpha 90.00
_cell_angle_beta 90.00
_cell_angle_gamma 90.00
loop_
_atom_site_label
_atom_site_type_symbol
_atom_site_fract_x
_atom_site_fract_y
_atom_site_fract_z
Mn1 Mn 0.0000 0.2393 0.2500
Pt1 Pt 0.0000 0.0698 0.6278
Pt2 Pt 0.0000 0.3614 0.5444
Rh1 Rh 0.0000 0.0000 0.0000
Rh2 Rh 0.0000 0.1159 0.7500
Rh3 Rh 0.0000 0.2827 0.0929
Rh4 Rh 0.0000 0.4364 0.6833
```

Output
Theoretical density in g/cm³: 14.29
Calculated volume in Å³/atom: 15.35
Formation enthalpy at 0 K in eV/f.u.: 1.7
Total energy in eV per atom: -6.88

---

Computed, not measured: crystalline TlInFe2Cl8 at its relaxed geometry at the PBE level of DFT.

Geometry as CIF:
```
data_TlInFe2Cl8
_symmetry_space_group_name_H-M 'R -3'
_symmetry_Int_Tables_number 148
_symmetry_space_group_name_Hall '-R 3'
_cell_length_a 6.4329
_cell_length_b 6.4329
_cell_length_c 28.4595
_cell_angle_alpha 90.00
_cell_angle_beta 90.00
_cell_angle_gamma 120.00
loop_
_atom_site_label
_atom_site_type_symbol
_atom_site_fract_x
_atom_site_fract_y
_atom_site_fract_z
Tl1 Tl 0.0000 0.0000 0.0000
In1 In 0.0000 0.0000 0.5000
Fe1 Fe 0.0000 0.0000 0.2476
Cl1 Cl 0.0000 0.0000 0.3253
Cl2 Cl 0.0007 0.3358 0.7783
```

Output
Theoretical density in g/cm³: 3.49
Calculated volume in Å³/atom: 28.33
ΔE_f (raw) in meV per atom: -854
Total energy in eV per atom: -3.92

---

Computed, not measured: crystalline LaYMg2 at its relaxed geometry at the PBE level of DFT.

Geometry as CIF:
```
data_LaYMg2
_symmetry_space_group_name_H-M 'R -3 m'
_symmetry_Int_Tables_number 166
_symmetry_space_group_name_Hall '-R 3 2"'
_cell_length_a 3.5064
_cell_length_b 3.5064
_cell_length_c 33.6124
_cell_angle_alpha 90.00
_cell_angle_beta 90.00
_cell_angle_gamma 120.00
loop_
_atom_site_label
_atom_site_type_symbol
_atom_site_fract_x
_atom_site_fract_y
_atom_site_fract_z
La1 La 0.0000 0.0000 0.0000
Y1 Y 0.0000 0.0000 0.5000
Mg1 Mg 0.0000 0.0000 0.2469
```

Output
Theoretical density in g/cm³: 3.85
Calculated volume in Å³/atom: 29.82
Formation enthalpy at 0 K in eV/f.u.: 0.1
Total energy in eV per atom: -3.62

---

Computed, not measured: crystalline CrAs2 at its relaxed geometry at the PBE level of DFT.

Geometry as CIF:
```
data_CrAs2
_symmetry_space_group_name_H-M 'I 41/a m d'
_symmetry_Int_Tables_number 141
_cell_length_a 4.9799
_cell_length_b 4.9799
_cell_length_c 8.1396
_cell_angle_alpha 90.00
_cell_angle_beta 90.00
_cell_angle_gamma 90.00
loop_
_symmetry_equiv_pos_as_xyz
'x,y,z'
'-x,-y,-z'
'-y+1/4,x+3/4,z+1/4'
'y+1/4,-x+3/4,-z+1/4'
'-x+1/2,-y,z+1/2'
'x+1/2,y,-z+1/2'
'y+1/4,-x+1/4,z+3/4'
'-y+1/4,x+1/4,-z+3/4'
'x,-y,-z'
'-x,y,z'
'-y+1/4,-x+1/4,-z+3/4'
'y+1/4,x+1/4,z+3/4'
'-x+1/2,y,-z+1/2'
'x+1/2,-y,z+1/2'
'y+1/4,x+3/4,-z+1/4'
'-y+1/4,-x+3/4,z+1/4'
'x+1/2,y+1/2,z+1/2'
'-x+1/2,-y+1/2,-z+1/2'
'-y+3/4,x+1/4,z+3/4'
'y+3/4,-x+1/4,-z+3/4'
'-x,-y+1/2,z'
'x,y+1/2,-z'
'y+3/4,-x+3/4,z+1/4'
'-y+3/4,x+3/4,-z+1/4'
'x+1/2,-y+1/2,-z+1/2'
'-x+1/2,y+1/2,z+1/2'
'-y+3/4,-x+3/4,-z+1/4'
'y+3/4,x+3/4,z+1/4'
'-x,y+1/2,-z'
'x,-y+1/2,z'
'y+3/4,x+1/4,-z+3/4'
'-y+3/4,-x+1/4,z+3/4'
loop_
_atom_site_label
_atom_site_type_symbol
_atom_site_fract_x
_atom_site_fract_y
_atom_site_fract_z
Cr1 Cr 0.0000 0.2500 0.3750
As1 As 0.0000 0.2500 0.0664
```

Output
Theoretical density in g/cm³: 6.64
Calculated volume in Å³/atom: 16.82
Formation enthalpy at 0 K in eV/f.u.: 0.1
Total energy in eV per atom: -6.27